The following is a DFT calculation (PBE) of an optimized crystal structure of La4Dy2Th3.

CIF file:
```
data_La4Dy2Th3
_cell_length_a 3.5517
_cell_length_b 11.9681
_cell_length_c 14.9512
_cell_angle_alpha 90.00
_cell_angle_beta 90.00
_cell_angle_gamma 90.00
_symmetry_space_group_name_H-M 'I m m m'
_symmetry_Int_Tables_number 71
_symmetry_space_group_name_Hall '-I 2 2'
loop_
_atom_site_label
_atom_site_type_symbol
_atom_site_fract_x
_atom_site_fract_y
_atom_site_fract_z
_atom_site_occupancy
La1 La 0.0000 0.2481 0.1296 1
Dy1 Dy 0.0000 0.0000 0.3007 1
Th1 Th 0.0000 0.5000 0.0000 1
Th2 Th 0.0000 0.5000 0.3963 1
```

## Properties
DFT total energy = -5.45 eV/atom
DFT formation energy = 0.236 eV/atom

=====

The following is a DFT calculation (PBE) of an optimized crystal structure of LiZnCdGa.

CIF file:
```
data_LiZnCdGa
_cell_length_a 6.5167
_cell_length_b 6.5167
_cell_length_c 6.5167
_cell_angle_alpha 90.00
_cell_angle_beta 90.00
_cell_angle_gamma 90.00
_symmetry_space_group_name_H-M 'F -4 3 m'
_symmetry_Int_Tables_number 216
_symmetry_space_group_name_Hall 'F -4 2 3'
loop_
_atom_site_label
_atom_site_type_symbol
_atom_site_fract_x
_atom_site_fract_y
_atom_site_fract_z
_atom_site_occupancy
Li1 Li 0.0000 0.0000 0.0000 1
Zn1 Zn 0.0000 0.0000 0.5000 1
Cd1 Cd 0.2500 0.2500 0.2500 1
Ga1 Ga 0.2500 0.2500 0.7500 1
```

## Properties
DFT total energy = -1.90 eV/atom
DFT formation energy = -0.118 eV/atom